Entry 1:
Here is Hg2AsAu2 after structural relaxation from Alexandria via LeMat-Bulk. Energies are from PBE-GGA.

The structure belongs to space group P4/mbm (No. 127); the cell edges are 8.4017, 8.4017 and 3.0464 Å and the angles 90.00°, 90.00° and 90.00°. The inequivalent atoms are Hg at (0.1808, 0.3192, 0.0000), As at (0.0000, 0.0000, 0.0000) and Au at (0.1183, 0.6183, 0.5000).

Its energy of formation from the pure elements is 0.273 eV per atom. Its total magnetization is 0.0 μB per formula unit. The calculation puts the offset from the most stable computed form at 0.24 eV per formula unit. For the total energy, the calculation gives -0.0768 hartree per atom.

=====

Entry 2:
Here is Fe2CoNi after structural relaxation from Alexandria via LeMat-Bulk. Energies are from PBE-GGA.

The structure belongs to space group P4/mmm (No. 123); the cell edges are 3.6763, 3.6763 and 3.3751 Å and the angles 90.00°, 90.00° and 90.00°. The inequivalent atoms are Fe at (0.0000, 0.5000, 0.0000), Co at (0.0000, 0.0000, 0.5000) and Ni at (0.5000, 0.5000, 0.5000).

Its energy of formation from the pure elements is -0.012 eV per atom. Its total magnetization is 7.6 μB per formula unit. The calculation puts the offset from the most stable computed form at 0.00 eV per formula unit. For the total energy, the calculation gives -0.2743 hartree per atom.

=====

Entry 3:
Here is ZnFeNi2 after structural relaxation from Alexandria via LeMat-Bulk. Energies are from PBE-GGA.

The structure belongs to space group I-4m2 (No. 119); the cell edges are 3.5578, 3.5578 and 7.4449 Å and the angles 90.00°, 90.00° and 90.00°. The inequivalent atoms are Zn at (0.0000, 0.0000, 0.0000), Fe at (0.0000, 0.5000, 0.7500), Ni at (0.0000, 0.0000, 0.5000) and Ni at (0.0000, 0.5000, 0.2500).

Its energy of formation from the pure elements is -0.075 eV per atom. Its total magnetization is 3.7 μB per formula unit. For the total energy, the calculation gives -0.1984 hartree per atom.

=====

Entry 4:
Here is Y2ErHg3 after structural relaxation from Alexandria via LeMat-Bulk. Energies are from PBE-GGA.

The structure belongs to space group P4/mmm (No. 123); the cell edges are 3.7214, 3.7214 and 11.1227 Å and the angles 90.00°, 90.00° and 90.00°. The inequivalent atoms are Y at (0.0000, 0.0000, 0.1679), Er at (0.0000, 0.0000, 0.5000), Hg at (0.5000, 0.5000, 0.0000) and Hg at (0.5000, 0.5000, 0.3371).

Its energy of formation from the pure elements is -0.501 eV per atom. Its total magnetization is 0.0 μB per formula unit. For the total energy, the calculation gives -0.1311 hartree per atom.

=====

Entry 5:
Here is Ce2MgCo after structural relaxation from Alexandria via LeMat-Bulk. Energies are from PBE-GGA.

The structure belongs to space group C2/m (No. 12); the cell edges are 6.3916, 3.6961 and 8.9573 Å and the angles 90.00°, 103.81° and 90.00°. The inequivalent atoms are Ce at (0.2281, 0.0000, 0.1838), Mg at (0.0000, 0.0000, 0.5000) and Co at (0.0000, 0.5000, 0.0000).

Its energy of formation from the pure elements is -0.003 eV per atom. Its total magnetization is 1.5 μB per formula unit. The calculation puts the offset from the most stable computed form at 0.18 eV per formula unit. For the total energy, the calculation gives -0.1891 hartree per atom.

=====

Entry 6:
Here is HfZr14Nb after structural relaxation from Alexandria via LeMat-Bulk. Energies are from PBE-GGA.

The structure belongs to space group Amm2 (No. 38); the cell edges are 10.0231, 7.0606 and 10.2504 Å and the angles 90.00°, 90.00° and 90.00°. The inequivalent atoms are Hf at (0.0000, 0.0000, 0.0000), Zr at (0.0000, 0.2242, 0.2665), Zr at (0.2370, 0.0000, 0.7698), Zr at (0.2421, 0.2284, 0.5079), Zr at (0.2659, 0.0000, 0.2470), Zr at (0.5000, 0.0000, 0.0444), Zr at (0.5000, 0.0000, 0.5406), Zr at (0.5000, 0.2277, 0.7971) and Nb at (0.0000, 0.0000, 0.5279).

Its energy of formation from the pure elements is 0.066 eV per atom. Its total magnetization is 0.0 μB per formula unit. For the total energy, the calculation gives -0.3184 hartree per atom.